[1]
! YZn8Ni4 | the Alexandria database | PBE | optimized geometry; values from VASP
! Density of states at the Fermi level ... 0.6122 states/eV per atom
! V ... 186.1 Å³/cell
! Energy ... -0.2467 Ry per atom
! ΔH_f (0 K) ... -28.65 kJ per mole of atoms
&SYSTEM
  ibrav = 0, nat = 13, ntyp = 3
/
ATOMIC_SPECIES
Y 88.91 Y.upf
Zn 65.41 Zn.upf
Ni 58.69 Ni.upf
ATOMIC_POSITIONS crystal
Y 0.000 0.000 0.000
Zn 0.000 0.342 0.342
Zn 0.000 0.658 0.658
Zn 0.277 0.500 0.777
Zn 0.342 0.000 0.342
Zn 0.500 0.277 0.777
Zn 0.500 0.723 0.223
Zn 0.658 0.000 0.658
Zn 0.723 0.500 0.223
Ni 0.000 0.000 0.500
Ni 0.000 0.500 0.000
Ni 0.500 0.000 0.000
Ni 0.500 0.500 0.500
CELL_PARAMETERS angstrom
-4.286 4.286 2.533
4.286 -4.286 2.533
4.286 4.286 -2.533

=====

[2]
! YZnNi | the Alexandria database | PBE | optimized geometry; values from VASP
! Density of states at the Fermi level ... 0.5611 states/eV per atom
! V ... 53.9 Å³/cell
! Energy ... -0.3524 Ry per atom
! ΔH_f (0 K) ... -27.77 kJ per mole of atoms
&SYSTEM
  ibrav = 0, nat = 3, ntyp = 3
/
ATOMIC_SPECIES
Y 88.91 Y.upf
Zn 65.41 Zn.upf
Ni 58.69 Ni.upf
ATOMIC_POSITIONS crystal
Y 0.000 0.000 0.000
Zn 0.299 0.299 0.000
Ni 0.681 0.681 0.000
CELL_PARAMETERS angstrom
-1.684 1.684 4.758
1.684 -1.684 4.758
1.684 1.684 -4.758